1.
DFT (PBE) results for an optimized crystal structure of Sc2TeAs.

Cell lengths 4.9726, 4.9726, 4.9726 Å; angles 60.00, 60.00, 60.00 degrees
Sites, in units of the cell vectors:
Sc1 0.7500 0.7500 0.7500
Sc2 0.2500 0.2500 0.2500
As1 0.0000 0.0000 0.0000
Te1 0.5000 0.5000 0.5000

Results
Uncorrected formation energy ... -0.862 eV/atom
Calculated volume ... 86.9 Å³ per cell
Spin magnetization ... 0.9 μB/f.u.
Fermi-level density of states ... 4.42 states/eV/cell
Space-group type ... Fm-3m (225)

---

2.
DFT (PBE) results for an optimized crystal structure of ErPa2Fe.

Cell lengths 3.4120, 3.4120, 7.8909 Å; angles 90.00, 90.00, 90.00 degrees
Sites, in units of the cell vectors:
Fe1 0.5000 0.5000 0.0000
Er1 0.5000 0.5000 0.5000
Pa1 0.0000 0.0000 0.1808
Pa2 0.0000 0.0000 0.8192

Results
Calculated volume ... 91.9 Å³ per cell
DFT formation energy ... 32 kJ/mol of formula units
Spin magnetization ... 0.0 μB/f.u.
Fermi-level density of states ... 6.99 states/eV/cell
E above lowest polymorph ... 47.1 meV per atom
Space-group type ... P4/mmm (123)

---

3.
DFT (PBE) results for an optimized crystal structure of Pr2HoMg4.

Cell lengths 5.4777, 5.4777, 8.2937 Å; angles 109.28, 109.28, 90.00 degrees
Sites, in units of the cell vectors:
Mg1 0.6121 0.1121 0.2242
Mg2 0.8879 0.3879 0.7758
Mg3 0.1121 0.6121 0.2242
Mg4 0.3879 0.8879 0.7758
Pr1 0.7464 0.7464 0.4929
Pr2 0.2536 0.2536 0.5071
Ho1 0.0000 0.0000 0.0000

Results
Calculated volume ... 220.0 Å³ per cell
DFT formation energy ... 78 kJ/mol of formula units
Spin magnetization ... 0.0 μB/f.u.
Fermi-level density of states ... 5.63 states/eV/cell
E above lowest polymorph ... 0.0 meV per atom
Space-group type ... I4/mmm (139)

---

4.
DFT (PBE) results for an optimized crystal structure of CaSc2N2.

Cell lengths 6.6477, 6.6477, 2.9437 Å; angles 90.00, 90.00, 90.00 degrees
Sites, in units of the cell vectors:
Ca1 0.5000 0.5000 0.0000
Ca2 0.0000 0.0000 0.0000
N1 0.6699 0.8301 0.5000
N2 0.1699 0.6699 0.5000
N3 0.8301 0.3301 0.5000
N4 0.3301 0.1699 0.5000
Sc1 0.8631 0.6369 0.0000
Sc2 0.1369 0.3631 0.0000
Sc3 0.3631 0.8631 0.0000
Sc4 0.6369 0.1369 0.0000

Results
Uncorrected formation energy ... -0.121 eV/atom
Calculated volume ... 130.1 Å³ per cell
Spin magnetization ... 1.5 μB/f.u.
Fermi-level density of states ... 7.85 states/eV/cell
E above lowest polymorph ... 1012.1 meV per atom
Space-group type ... P4/mbm (127)

---

5.
DFT (PBE) results for an optimized crystal structure of Na2Sb2P.

Cell lengths 7.3891, 7.3891, 4.9290 Å; angles 90.00, 90.00, 90.00 degrees
Sites, in units of the cell vectors:
Na1 0.8291 0.3291 0.5000
Na2 0.1709 0.6709 0.5000
Na3 0.6709 0.8291 0.5000
Na4 0.3291 0.1709 0.5000
Sb1 0.3612 0.8612 0.0000
Sb2 0.8612 0.6388 0.0000
Sb3 0.1388 0.3612 0.0000
Sb4 0.6388 0.1388 0.0000
P1 0.0000 0.0000 0.0000
P2 0.5000 0.5000 0.0000

Results
Uncorrected formation energy ... -0.070 eV/atom
Calculated volume ... 269.1 Å³ per cell
Spin magnetization ... 0.0 μB/f.u.
Fermi-level density of states ... 3.58 states/eV/cell
Space-group type ... P4/mbm (127)

---

6.
DFT (PBE) results for an optimized crystal structure of PmY5Cd6.

Cell lengths 5.3098, 7.5565, 8.4149 Å; angles 90.00, 71.61, 90.00 degrees
Sites, in units of the cell vectors:
Y1 0.0000 0.5000 0.0000
Y2 0.3323 0.0000 0.3354
Y3 0.3350 0.5000 0.3301
Y4 0.6650 0.5000 0.6699
Y5 0.6677 0.0000 0.6646
Cd1 0.1684 0.7463 0.6633
Cd2 0.8316 0.2537 0.3367
Cd3 0.1683 0.2537 0.6633
Cd4 0.5000 0.2530 0.0000
Cd5 0.8317 0.7463 0.3367
Cd6 0.5000 0.7470 0.0000
Pm1 0.0000 0.0000 0.0000

Results
Calculated volume ... 320.4 Å³ per cell
DFT formation energy ... -401 kJ/mol of formula units
Spin magnetization ... 0.0 μB/f.u.
Fermi-level density of states ... 13.98 states/eV/cell
Space-group type ... Cmmm (65)

---

Repeat the sixth record exactly.
DFT (PBE) results for an optimized crystal structure of PmY5Cd6.

Cell lengths 5.3098, 7.5565, 8.4149 Å; angles 90.00, 71.61, 90.00 degrees
Sites, in units of the cell vectors:
Y1 0.0000 0.5000 0.0000
Y2 0.3323 0.0000 0.3354
Y3 0.3350 0.5000 0.3301
Y4 0.6650 0.5000 0.6699
Y5 0.6677 0.0000 0.6646
Cd1 0.1684 0.7463 0.6633
Cd2 0.8316 0.2537 0.3367
Cd3 0.1683 0.2537 0.6633
Cd4 0.5000 0.2530 0.0000
Cd5 0.8317 0.7463 0.3367
Cd6 0.5000 0.7470 0.0000
Pm1 0.0000 0.0000 0.0000

Results
Calculated volume ... 320.4 Å³ per cell
DFT formation energy ... -401 kJ/mol of formula units
Spin magnetization ... 0.0 μB/f.u.
Fermi-level density of states ... 13.98 states/eV/cell
Space-group type ... Cmmm (65)

---

Please write out number 4 again, unchanged.
DFT (PBE) results for an optimized crystal structure of CaSc2N2.

Cell lengths 6.6477, 6.6477, 2.9437 Å; angles 90.00, 90.00, 90.00 degrees
Sites, in units of the cell vectors:
Ca1 0.5000 0.5000 0.0000
Ca2 0.0000 0.0000 0.0000
N1 0.6699 0.8301 0.5000
N2 0.1699 0.6699 0.5000
N3 0.8301 0.3301 0.5000
N4 0.3301 0.1699 0.5000
Sc1 0.8631 0.6369 0.0000
Sc2 0.1369 0.3631 0.0000
Sc3 0.3631 0.8631 0.0000
Sc4 0.6369 0.1369 0.0000

Results
Uncorrected formation energy ... -0.121 eV/atom
Calculated volume ... 130.1 Å³ per cell
Spin magnetization ... 1.5 μB/f.u.
Fermi-level density of states ... 7.85 states/eV/cell
E above lowest polymorph ... 1012.1 meV per atom
Space-group type ... P4/mbm (127)

---

What is the formula in the second record? ErPa2Fe

---

What did the first record say?
DFT (PBE) results for an optimized crystal structure of Sc2TeAs.

Cell lengths 4.9726, 4.9726, 4.9726 Å; angles 60.00, 60.00, 60.00 degrees
Sites, in units of the cell vectors:
Sc1 0.7500 0.7500 0.7500
Sc2 0.2500 0.2500 0.2500
As1 0.0000 0.0000 0.0000
Te1 0.5000 0.5000 0.5000

Results
Uncorrected formation energy ... -0.862 eV/atom
Calculated volume ... 86.9 Å³ per cell
Spin magnetization ... 0.9 μB/f.u.
Fermi-level density of states ... 4.42 states/eV/cell
Space-group type ... Fm-3m (225)